Entry from Alexandria: crystalline FePt6W at its relaxed geometry (PBE).

formation energy from the elements: -0.25 eV/atom
uncorrected energy: -7.460 eV per atom
calculated density: 19.13 g/cm3

a b c (Å): 3.925 4.853 7.360
angles (deg): 76.82 74.53 66.14
Each line ends with the local moment (μB).
Fractional positions:
Pt: 0.750 0.125 0.375  0.08
Pt: 0.502 0.745 0.252  0.06
Pt: 0.498 0.255 0.748  0.06
Pt: 0.750 0.623 0.876  0.16
Pt: 0.250 0.875 0.625  0.08
Pt: 0.250 0.377 0.124  0.16
W: 0.000 0.500 0.500  -0.03
Fe: 0.000 0.000 0.000  3.19



Entry from Alexandria: crystalline K4AsI at its relaxed geometry (PBE).

uncorrected energy: -2.485 eV per atom
calculated density: 2.36 g/cm3
energy relative to the elements, uncorrected: -0.7198 eV/atom

a b c (Å): 5.306 8.737 21.753
angles (deg): 90.00 90.00 90.00
Fractional positions:
K: 0.250 0.598 0.137
K: 0.250 0.639 0.966
K: 0.750 0.902 0.637
K: 0.250 0.581 0.702
K: 0.250 0.004 0.061
K: 0.750 0.996 0.939
K: 0.750 0.919 0.202
K: 0.250 0.504 0.439
K: 0.750 0.861 0.466
K: 0.750 0.361 0.034
K: 0.250 0.081 0.798
K: 0.750 0.419 0.298
K: 0.250 0.139 0.534
K: 0.250 0.098 0.363
K: 0.750 0.496 0.561
K: 0.750 0.402 0.863
As: 0.750 0.249 0.436
As: 0.750 0.749 0.064
As: 0.250 0.251 0.936
As: 0.250 0.751 0.564
I: 0.750 0.280 0.704
I: 0.250 0.720 0.296
I: 0.750 0.780 0.796
I: 0.250 0.220 0.204



Entry from Alexandria: crystalline Be2ReP at its relaxed geometry (PBE).

formation energy from the elements: 0.08 eV/atom
uncorrected energy: -6.244 eV per atom
calculated density: 8.89 g/cm3

a b c (Å): 3.789 3.789 3.113
angles (deg): 89.99 89.99 100.66
Fractional positions:
Be: 0.500 0.500 0.000
Be: 0.000 0.000 0.000
P: 0.500 0.000 0.500
Re: 0.000 0.500 0.500



Entry from Alexandria: crystalline CaGePd4 at its relaxed geometry (PBE).

formation energy from the elements: -0.56 eV/atom
uncorrected energy: -5.126 eV per atom
calculated density: 8.32 g/cm3

a b c (Å): 3.966 6.978 7.768
angles (deg): 90.00 90.00 90.00
Fractional positions:
Pd: 0.500 0.697 0.442
Pd: 0.500 0.950 0.750
Pd: 0.500 0.697 0.058
Pd: 0.000 0.000 0.500
Pd: 0.500 0.050 0.250
Pd: 0.000 0.000 0.000
Pd: 0.500 0.303 0.558
Pd: 0.500 0.303 0.942
Ca: 0.000 0.639 0.750
Ca: 0.000 0.361 0.250
Ge: 0.000 0.786 0.250
Ge: 0.000 0.214 0.750



Entry from Alexandria: crystalline Na3Tl4CuBr8 at its relaxed geometry (PBE).

uncorrected energy: -2.922 eV per atom
calculated density: 5.21 g/cm3
energy relative to the elements, uncorrected: -0.9910 eV/atom

a b c (Å): 8.618 9.106 8.893
angles (deg): 119.26 118.98 90.00
Fractional positions:
Tl: 0.000 0.000 0.000
Tl: 0.500 0.000 0.000
Tl: 0.500 0.000 0.500
Tl: 0.000 0.000 0.500
Na: 0.500 0.500 0.500
Na: 0.000 0.500 0.500
Na: 0.500 0.500 0.000
Cu: 0.000 0.500 0.000
Br: 0.216 0.698 0.985
Br: 0.261 0.285 0.522
Br: 0.784 0.302 0.015
Br: 0.768 0.698 0.985
Br: 0.750 0.275 0.501
Br: 0.250 0.725 0.499
Br: 0.739 0.715 0.478
Br: 0.232 0.302 0.015



Entry from Alexandria: crystalline Bi3O at its relaxed geometry (PBE).

uncorrected energy: -4.394 eV per atom
calculated density: 9.08 g/cm3
energy relative to the elements, uncorrected: -0.2434 eV/atom

a b c (Å): 4.788 5.128 4.787
angles (deg): 90.00 90.00 90.00
Fractional positions:
Bi: 0.500 0.044 0.000
Bi: 0.000 0.873 0.500
Bi: 0.500 0.458 0.500
O: 0.000 0.958 0.000



Please write out number 1 again, unchanged.
Entry from Alexandria: crystalline FePt6W at its relaxed geometry (PBE).

formation energy from the elements: -0.25 eV/atom
uncorrected energy: -7.460 eV per atom
calculated density: 19.13 g/cm3

a b c (Å): 3.925 4.853 7.360
angles (deg): 76.82 74.53 66.14
Each line ends with the local moment (μB).
Fractional positions:
Pt: 0.750 0.125 0.375  0.08
Pt: 0.502 0.745 0.252  0.06
Pt: 0.498 0.255 0.748  0.06
Pt: 0.750 0.623 0.876  0.16
Pt: 0.250 0.875 0.625  0.08
Pt: 0.250 0.377 0.124  0.16
W: 0.000 0.500 0.500  -0.03
Fe: 0.000 0.000 0.000  3.19